Entry from Alexandria via LeMat-Bulk: crystalline BaBiCl at its relaxed geometry (PBE).

The structure in CIF format:
```
data_BaBiCl
_space_group_name_H-M_alt 'P 1'
_space_group_IT_number 1
_space_group_name_Hall 'P 1'
_cell_length_a 5.275
_cell_length_b 5.275
_cell_length_c 10.679
_cell_angle_alpha 104.30
_cell_angle_beta 104.30
_cell_angle_gamma 60.29
loop_
_atom_site_label
_atom_site_fract_x
_atom_site_fract_y
_atom_site_fract_z
_atom_site_occupancy
Ba1 0.236 0.236 0.208 1
Ba2 0.764 0.764 0.792 1
Bi1 0.348 0.348 0.546 1
Bi2 0.652 0.652 0.454 1
Cl1 0.130 0.130 0.886 1
Cl2 0.870 0.870 0.114 1
```

Properties
DOS(E_F), states/eV per atom: 0.09
Relative energy among the computed polymorphs, kJ/mol of atoms: 0.0
Total DFT energy (no corrections), eV/atom: -4.055
V, Å³/cell: 247.3
Symmetry: No. 12
Raw formation energy, eV per atom: -1.50